Here is crystalline MnCl at its relaxed geometry from Alexandria. Energies are from PBE-GGA.

Unit cell a=3.595 b=5.483 c=8.976 alpha=90.00 beta=90.00 gamma=90.00
Space group Cmme (No. 67)
Asymmetric unit:
Mn (0.000, 0.250, 0.119) [4 per cell]
Cl (0.000, 0.250, 0.709) [4 per cell]

Output
Theoretical density in kg/m3: 3394
Energy relative to the elements, uncorrected in eV/atom: -0.314
Density of states at the Fermi level in states/eV/atom: 0.420

Here is crystalline Mn3MoCl at its relaxed geometry from Alexandria. Energies are from PBE-GGA.

Unit cell a=4.787 b=4.787 c=4.787 alpha=90.00 beta=90.00 gamma=90.00
Space group Pm-3m (No. 221)
Asymmetric unit:
Mn (0.000, 0.000, 0.500) [3 per cell]
Mo (0.000, 0.000, 0.000) [1 per cell]
Cl (0.500, 0.500, 0.500) [1 per cell]

Output
Theoretical density in kg/m3: 4483
Energy relative to the elements, uncorrected in eV/atom: 1.265
Density of states at the Fermi level in states/eV/atom: 1.172